1.
Here is a relaxed structure of Pr4GeI2N from Alexandria via LeMat-Bulk. Energies are from PBE-GGA.

Results
The theoretical density is 6.5 Mg/m³. The crystal system is monoclinic. The calculation puts the density of states at the Fermi level at 0.350 states/eV/atom. The uncorrected formation energy comes out at -1075 meV per atom.

abc: 4.0918 7.1582 8.2276
angles: 107.18 90.00 90.00
Closest atoms and distances in Å follow each position.
Atoms (fractional coordinates):
Pr: 0.0000 0.7001 0.1782  2 N 2.67, 1 Ge 2.94
I: 0.0000 0.5000 0.5000  6 Pr 3.34-3.36
N: 0.5000 0.5000 0.0000  6 Pr 2.54-2.67
Pr: 0.5000 0.7303 0.8172  1 N 2.54
Pr: 0.5000 0.2697 0.1828  1 N 2.54
Ge: 0.0000 0.0000 0.0000  6 Pr 2.91-2.94
I: 0.5000 0.0000 0.5000  6 Pr 3.53-3.68
Pr: 0.0000 0.2999 0.8218  2 N 2.67, 1 Ge 2.94

2.
Here is a relaxed structure of GePtI2N from Alexandria via LeMat-Bulk. Energies are from PBE-GGA.

Results
The theoretical density is 7.1 Mg/m³. The crystal system is tetragonal. Its energy relative to the lowest polymorph listed for this composition is 0 meV per atom. The calculation puts the density of states at the Fermi level at 0.683 states/eV/atom. The uncorrected formation energy comes out at 598 meV per atom.

abc: 5.8049 5.8049 3.7359
angles: 90.00 90.00 90.00
Closest atoms and distances in Å follow each position.
Atoms (fractional coordinates):
Pt: 0.0000 0.0000 0.0000  2 N 1.87
N: 0.0000 0.0000 0.5000  2 Pt 1.87
Ge: 0.5000 0.5000 0.5000  8 I 3.45, 2 Ge 3.74
I: 0.0000 0.5000 0.0000  2 Pt 2.90
I: 0.5000 0.0000 0.0000  2 Pt 2.90

3.
Here is a relaxed structure of GePtI2N from Alexandria via LeMat-Bulk. Energies are from PBE-GGA.

Results
The theoretical density is 7.7 Mg/m³. The crystal system is tetragonal. Its energy relative to the lowest polymorph listed for this composition is 376 meV per atom. The calculation puts the density of states at the Fermi level at 0.875 states/eV/atom. The uncorrected formation energy comes out at 974 meV per atom.

abc: 5.7926 5.7926 3.4254
angles: 90.00 90.00 90.00
Closest atoms and distances in Å follow each position.
Atoms (fractional coordinates):
Ge: 0.0000 0.0000 0.0000  2 N 1.71
Pt: 0.5000 0.5000 0.5000  8 I 3.36, 2 Pt 3.43
I: 0.5000 0.0000 0.0000  2 Ge 2.90
N: 0.0000 0.0000 0.5000  2 Ge 1.71
I: 0.0000 0.5000 0.0000  2 Ge 2.90

4.
Here is a relaxed structure of Rb2GeI6N from Alexandria via LeMat-Bulk. Energies are from PBE-GGA.

Results
The theoretical density is 4.8 Mg/m³. The crystal system is tetragonal. The calculation puts the density of states at the Fermi level at 0.296 states/eV/atom. The uncorrected formation energy comes out at -215 meV per atom.

abc: 7.9608 7.9608 7.9100
angles: 59.79 59.79 90.00
Closest atoms and distances in Å follow each position.
Atoms (fractional coordinates):
I: 0.7427 0.7427 0.0000  1 N 2.73, 1 Ge 2.90
I: 0.2573 0.2573 0.0000  1 N 2.73, 1 Ge 2.90
I: 0.7427 0.2573 0.0000  1 N 2.73, 1 Ge 2.90
Rb: 0.2500 0.7500 0.5000  12 I 3.96-3.99
I: 0.7315 0.7315 0.5369  1 N 2.57
Ge: 0.0000 0.0000 0.0000  6 I 2.90-2.98
I: 0.2685 0.2685 0.4631  1 N 2.57
N: 0.5000 0.5000 0.0000  6 I 2.57-2.73
I: 0.2573 0.7427 0.0000  1 N 2.73, 1 Ge 2.90
Rb: 0.7500 0.2500 0.5000  12 I 3.96-3.99

5.
Here is a relaxed structure of RbGeIN2 from Alexandria via LeMat-Bulk. Energies are from PBE-GGA.

Results
The theoretical density is 2.6 Mg/m³. The crystal system is tetragonal. Its energy relative to the lowest polymorph listed for this composition is 1002 meV per atom. The calculation puts the density of states at the Fermi level at 0.673 states/eV/atom. The uncorrected formation energy comes out at 2013 meV per atom.

abc: 5.2614 5.2614 7.0905
angles: 90.00 90.00 90.00
Closest atoms and distances in Å follow each position.
Atoms (fractional coordinates):
N: 0.5000 0.0000 0.0000  2 Rb 2.63
I: 0.0000 0.0000 0.5000  2 Rb 3.55, 4 Ge 3.72
N: 0.0000 0.5000 0.0000  2 Rb 2.63
Rb: 0.0000 0.0000 0.0000  4 N 2.63
Ge: 0.5000 0.5000 0.5000  4 I 3.72

6.
Here is a relaxed structure of RbGeIN2 from Alexandria via LeMat-Bulk. Energies are from PBE-GGA.

Results
The theoretical density is 4.4 Mg/m³. The crystal system is tetragonal. Its energy relative to the lowest polymorph listed for this composition is 0 meV per atom. The calculation puts the density of states at the Fermi level at 0.487 states/eV/atom. The uncorrected formation energy comes out at 1012 meV per atom.

abc: 4.4317 4.4317 5.9992
angles: 90.00 90.00 90.00
Closest atoms and distances in Å follow each position.
Atoms (fractional coordinates):
Ge: 0.0000 0.0000 0.0000  4 N 2.22
N: 0.5000 0.0000 0.0000  2 Ge 2.22
I: 0.0000 0.0000 0.5000  2 Ge 3.00, 4 Rb 3.13
N: 0.0000 0.5000 0.0000  2 Ge 2.22
Rb: 0.5000 0.5000 0.5000  4 I 3.13

7.
Here is a relaxed structure of ReGeI2N from Alexandria via LeMat-Bulk. Energies are from PBE-GGA.

Results
The theoretical density is 7.1 Mg/m³. The crystal system is tetragonal. Its energy relative to the lowest polymorph listed for this composition is 962 meV per atom. The calculation puts the density of states at the Fermi level at 0.391 states/eV/atom. The uncorrected formation energy comes out at 1552 meV per atom.

abc: 5.9315 5.9315 3.5082
angles: 90.00 90.00 90.00
Closest atoms and distances in Å follow each position.
Atoms (fractional coordinates):
Re: 0.5000 0.5000 0.5000  8 I 3.45, 2 Re 3.51
I: 0.0000 0.5000 0.0000  2 Ge 2.97
N: 0.0000 0.0000 0.5000  2 Ge 1.75
Ge: 0.0000 0.0000 0.0000  2 N 1.75
I: 0.5000 0.0000 0.0000  2 Ge 2.97

8.
Here is a relaxed structure of ReGeI2N from Alexandria via LeMat-Bulk. Energies are from PBE-GGA.

Results
The theoretical density is 7.4 Mg/m³. The crystal system is tetragonal. Its energy relative to the lowest polymorph listed for this composition is 0 meV per atom. The calculation puts the density of states at the Fermi level at 0.725 states/eV/atom. The uncorrected formation energy comes out at 590 meV per atom.

abc: 5.5931 5.5931 3.7882
angles: 90.00 90.00 90.00
Closest atoms and distances in Å follow each position.
Atoms (fractional coordinates):
Ge: 0.5000 0.5000 0.5000  8 I 3.38
I: 0.5000 0.0000 0.0000  2 Re 2.80
N: 0.0000 0.0000 0.5000  2 Re 1.89
Re: 0.0000 0.0000 0.0000  2 N 1.89
I: 0.0000 0.5000 0.0000  2 Re 2.80

9.
Here is a relaxed structure of GeRhIN2 from Alexandria via LeMat-Bulk. Energies are from PBE-GGA.

Results
The theoretical density is 4.9 Mg/m³. The crystal system is tetragonal. Its energy relative to the lowest polymorph listed for this composition is 98 meV per atom. The calculation puts the density of states at the Fermi level at 1.053 states/eV/atom. The uncorrected formation energy comes out at 1369 meV per atom.

abc: 3.6983 3.6983 8.1513
angles: 90.00 90.00 90.00
Closest atoms and distances in Å follow each position.
Atoms (fractional coordinates):
Ge: 0.0000 0.0000 0.0000  4 N 1.85
I: 0.0000 0.0000 0.5000  4 Rh 2.62
N: 0.0000 0.5000 0.0000  2 Ge 1.85
N: 0.5000 0.0000 0.0000  2 Ge 1.85
Rh: 0.5000 0.5000 0.5000  4 I 2.62

10.
Here is a relaxed structure of GeRhI2N from Alexandria via LeMat-Bulk. Energies are from PBE-GGA.

Results
The theoretical density is 6.2 Mg/m³. The crystal system is tetragonal. Its energy relative to the lowest polymorph listed for this composition is 0 meV per atom. The calculation puts the density of states at the Fermi level at 0.683 states/eV/atom. The uncorrected formation energy comes out at 501 meV per atom.

abc: 5.6456 5.6456 3.7233
angles: 90.00 90.00 90.00
Closest atoms and distances in Å follow each position.
Atoms (fractional coordinates):
I: 0.0000 0.5000 0.0000  2 Rh 2.82
I: 0.5000 0.0000 0.0000  2 Rh 2.82
N: 0.0000 0.0000 0.5000  2 Rh 1.86
Ge: 0.5000 0.5000 0.5000  8 I 3.38, 2 Ge 3.72
Rh: 0.0000 0.0000 0.0000  2 N 1.86

11.
Here is a relaxed structure of GeRhIN2 from Alexandria via LeMat-Bulk. Energies are from PBE-GGA.

Results
The theoretical density is 4.8 Mg/m³. The crystal system is tetragonal. Its energy relative to the lowest polymorph listed for this composition is 0 meV per atom. The calculation puts the density of states at the Fermi level at 0.655 states/eV/atom. The uncorrected formation energy comes out at 1271 meV per atom.

abc: 3.8729 3.8729 7.6789
angles: 90.00 90.00 90.00
Closest atoms and distances in Å follow each position.
Atoms (fractional coordinates):
Ge: 0.5000 0.5000 0.5000  4 I 2.74
N: 0.5000 0.0000 0.0000  2 Rh 1.94
Rh: 0.0000 0.0000 0.0000  4 N 1.94
N: 0.0000 0.5000 0.0000  2 Rh 1.94
I: 0.0000 0.0000 0.5000  4 Ge 2.74

12.
Here is a relaxed structure of GeRhI2N from Alexandria via LeMat-Bulk. Energies are from PBE-GGA.

Results
The theoretical density is 6.3 Mg/m³. The crystal system is tetragonal. Its energy relative to the lowest polymorph listed for this composition is 482 meV per atom. The calculation puts the density of states at the Fermi level at 0.990 states/eV/atom. The uncorrected formation energy comes out at 983 meV per atom.

abc: 5.7783 5.7783 3.4847
angles: 90.00 90.00 90.00
Closest atoms and distances in Å follow each position.
Atoms (fractional coordinates):
Ge: 0.0000 0.0000 0.0000  2 N 1.74
I: 0.5000 0.0000 0.0000  2 Ge 2.89
N: 0.0000 0.0000 0.5000  2 Ge 1.74
Rh: 0.5000 0.5000 0.5000  8 I 3.37, 2 Rh 3.48
I: 0.0000 0.5000 0.0000  2 Ge 2.89

13.
Here is a relaxed structure of GeRuI2N from Alexandria via LeMat-Bulk. Energies are from PBE-GGA.

Results
The theoretical density is 6.3 Mg/m³. The crystal system is tetragonal. Its energy relative to the lowest polymorph listed for this composition is 0 meV per atom. The calculation puts the density of states at the Fermi level at 0.515 states/eV/atom. The uncorrected formation energy comes out at 475 meV per atom.

abc: 5.5767 5.5767 3.7320
angles: 90.00 90.00 90.00
Closest atoms and distances in Å follow each position.
Atoms (fractional coordinates):
I: 0.0000 0.5000 0.0000  2 Ru 2.79
N: 0.0000 0.0000 0.5000  2 Ru 1.87
Ru: 0.0000 0.0000 0.0000  2 N 1.87
I: 0.5000 0.0000 0.0000  2 Ru 2.79
Ge: 0.5000 0.5000 0.5000  8 I 3.36, 2 Ge 3.73

14.
Here is a relaxed structure of GeRuI2N from Alexandria via LeMat-Bulk. Energies are from PBE-GGA.

Results
The theoretical density is 7.3 Mg/m³. The crystal system is tetragonal. Its energy relative to the lowest polymorph listed for this composition is 983 meV per atom. The calculation puts the density of states at the Fermi level at 0.842 states/eV/atom. The uncorrected formation energy comes out at 1458 meV per atom.

abc: 4.7470 4.4528 4.7470
angles: 90.00 90.00 90.00
Closest atoms and distances in Å follow each position.
Atoms (fractional coordinates):
Ru: 0.5000 0.5000 0.5000  8 I 3.25, 4 Ge 3.36
Ge: 0.0000 0.5000 0.0000  2 N 2.23
I: 0.0000 0.0000 0.5000  2 N 2.37
I: 0.5000 0.0000 0.0000  2 N 2.37
N: 0.0000 0.0000 0.0000  2 Ge 2.23, 4 I 2.37

15.
Here is a relaxed structure of GeRuIN2 from Alexandria via LeMat-Bulk. Energies are from PBE-GGA.

Results
The theoretical density is 6.1 Mg/m³. The crystal system is tetragonal. Its energy relative to the lowest polymorph listed for this composition is 0 meV per atom. The calculation puts the density of states at the Fermi level at 0.804 states/eV/atom. The uncorrected formation energy comes out at 1125 meV per atom.

abc: 3.9623 3.9623 5.7237
angles: 90.00 90.00 90.00
Closest atoms and distances in Å follow each position.
Atoms (fractional coordinates):
I: 0.0000 0.0000 0.5000  4 Ge 2.80, 2 Ru 2.86
N: 0.0000 0.5000 0.0000  2 Ru 1.98
Ru: 0.0000 0.0000 0.0000  4 N 1.98
N: 0.5000 0.0000 0.0000  2 Ru 1.98
Ge: 0.5000 0.5000 0.5000  4 I 2.80

16.
Here is a relaxed structure of GeRuIN2 from Alexandria via LeMat-Bulk. Energies are from PBE-GGA.

Results
The theoretical density is 5.7 Mg/m³. The crystal system is tetragonal. Its energy relative to the lowest polymorph listed for this composition is 508 meV per atom. The calculation puts the density of states at the Fermi level at 0.982 states/eV/atom. The uncorrected formation energy comes out at 1633 meV per atom.

abc: 3.7468 3.7468 6.7790
angles: 90.00 90.00 90.00
Closest atoms and distances in Å follow each position.
Atoms (fractional coordinates):
N: 0.0000 0.5000 0.0000  2 Ge 1.87
N: 0.5000 0.0000 0.0000  2 Ge 1.87
Ge: 0.0000 0.0000 0.0000  4 N 1.87
I: 0.0000 0.0000 0.5000  4 Ru 2.65
Ru: 0.5000 0.5000 0.5000  4 I 2.65

17.
Here is a relaxed structure of GeRuI2N from Alexandria via LeMat-Bulk. Energies are from PBE-GGA.

Results
The theoretical density is 6.0 Mg/m³. The crystal system is tetragonal. Its energy relative to the lowest polymorph listed for this composition is 710 meV per atom. The calculation puts the density of states at the Fermi level at 0.885 states/eV/atom. The uncorrected formation energy comes out at 1184 meV per atom.

abc: 5.8558 5.8558 3.5623
angles: 90.00 90.00 90.00
Closest atoms and distances in Å follow each position.
Atoms (fractional coordinates):
Ru: 0.5000 0.5000 0.5000  8 I 3.43, 2 Ru 3.56
Ge: 0.0000 0.0000 0.0000  2 N 1.78
I: 0.5000 0.0000 0.0000  2 Ge 2.93
N: 0.0000 0.0000 0.5000  2 Ge 1.78
I: 0.0000 0.5000 0.0000  2 Ge 2.93

18.
Here is a relaxed structure of Ge2SIN from Alexandria via LeMat-Bulk. Energies are from PBE-GGA.

Results
The theoretical density is 5.3 Mg/m³. The crystal system is tetragonal. The calculation puts the density of states at the Fermi level at 0.599 states/eV/atom. The uncorrected formation energy comes out at 867 meV per atom.

abc: 5.2592 5.2592 3.6318
angles: 90.00 90.00 90.00
Closest atoms and distances in Å follow each position.
Atoms (fractional coordinates):
S: 0.0000 0.0000 0.0000  2 N 1.82
N: 0.0000 0.0000 0.5000  2 S 1.82
I: 0.5000 0.5000 0.5000  8 Ge 3.20
Ge: 0.0000 0.5000 0.0000  2 S 2.63
Ge: 0.5000 0.0000 0.0000  2 S 2.63

19.
Here is a relaxed structure of GeSbI2N from Alexandria via LeMat-Bulk. Energies are from PBE-GGA.

Results
The theoretical density is 5.0 Mg/m³. The crystal system is tetragonal. Its energy relative to the lowest polymorph listed for this composition is 144 meV per atom. The calculation puts the density of states at the Fermi level at 0.640 states/eV/atom. The uncorrected formation energy comes out at 785 meV per atom.

abc: 6.1997 6.1997 3.9735
angles: 90.00 90.00 90.00
Closest atoms and distances in Å follow each position.
Atoms (fractional coordinates):
N: 0.0000 0.0000 0.5000  2 Sb 1.99
Ge: 0.5000 0.5000 0.5000  8 I 3.68, 2 Ge 3.97
I: 0.5000 0.0000 0.0000  2 Sb 3.10
I: 0.0000 0.5000 0.0000  2 Sb 3.10
Sb: 0.0000 0.0000 0.0000  2 N 1.99

20.
Here is a relaxed structure of GeSbI2N from Alexandria via LeMat-Bulk. Energies are from PBE-GGA.

Results
The theoretical density is 6.4 Mg/m³. The crystal system is tetragonal. Its energy relative to the lowest polymorph listed for this composition is 303 meV per atom. The calculation puts the density of states at the Fermi level at 0.554 states/eV/atom. The uncorrected formation energy comes out at 943 meV per atom.

abc: 4.9095 4.9095 4.9836
angles: 90.00 90.00 90.00
Closest atoms and distances in Å follow each position.
Atoms (fractional coordinates):
I: 0.0000 0.5000 0.0000  2 N 2.45
Ge: 0.5000 0.5000 0.5000  4 Sb 3.47, 8 I 3.50
N: 0.0000 0.0000 0.0000  4 I 2.45, 2 Sb 2.49
I: 0.5000 0.0000 0.0000  2 N 2.45
Sb: 0.0000 0.0000 0.5000  2 N 2.49